Compound: Tb15PrIn4
Source: Alexandria
Functional: PBE
Structure: relaxed

abc: 4.877 4.877 24.872
angles: 90.00 90.00 90.00
Element x y z (fractional)
1 Tb 0.000 0.000 0.000
2 Tb 0.000 0.000 0.207
3 Tb 0.000 0.000 0.402
4 Tb 0.000 0.000 0.598
5 Tb 0.000 0.000 0.793
6 Tb 0.000 0.500 0.107
7 Tb 0.000 0.500 0.304
8 Tb 0.000 0.500 0.500
9 Tb 0.000 0.500 0.696
10 Tb 0.000 0.500 0.893
11 Tb 0.500 0.000 0.107
12 Tb 0.500 0.000 0.304
13 Tb 0.500 0.000 0.500
14 Tb 0.500 0.000 0.696
15 Tb 0.500 0.000 0.893
16 Pr 0.500 0.500 0.000
17 In 0.500 0.500 0.207
18 In 0.500 0.500 0.402
19 In 0.500 0.500 0.598
20 In 0.500 0.500 0.793

energy relative to the elements = -201 meV/atom
crystal system = tetragonal

---

Compound: K2ScCl5
Source: Alexandria
Functional: PBE
Structure: relaxed

abc: 9.299 7.093 14.210
angles: 90.00 90.00 90.00
Element x y z (fractional)
1 K 0.037 0.250 0.205
2 K 0.166 0.750 0.415
3 K 0.334 0.250 0.915
4 K 0.463 0.750 0.705
5 K 0.537 0.250 0.295
6 K 0.666 0.750 0.085
7 K 0.834 0.250 0.585
8 K 0.963 0.750 0.795
9 Sc 0.187 0.750 0.059
10 Sc 0.313 0.250 0.559
11 Sc 0.687 0.750 0.441
12 Sc 0.813 0.250 0.941
13 Cl 0.000 0.000 0.000
14 Cl 0.000 0.500 0.000
15 Cl 0.049 0.750 0.206
16 Cl 0.154 0.502 0.607
17 Cl 0.154 0.998 0.607
18 Cl 0.225 0.250 0.391
19 Cl 0.275 0.750 0.891
20 Cl 0.346 0.002 0.107
21 Cl 0.346 0.498 0.107
22 Cl 0.451 0.250 0.706
23 Cl 0.500 0.000 0.500
24 Cl 0.500 0.500 0.500
25 Cl 0.549 0.750 0.294
26 Cl 0.654 0.502 0.893
27 Cl 0.654 0.998 0.893
28 Cl 0.725 0.250 0.109
29 Cl 0.775 0.750 0.609
30 Cl 0.846 0.002 0.393
31 Cl 0.846 0.498 0.393
32 Cl 0.951 0.250 0.794

crystal system = orthorhombic
formation energy (no corrections) = -2.062 eV/atom

---

For each record above, in turn, the calculated total moment values are 0.081; 0.000 μB/cell.
For each record above, in turn, the calculated DOS at the Fermi energy values are 1.46; 0.00 states/eV per atom.
For each record above, in turn, the calculated energy values are -4.4607; -4.2823 eV/atom.